# 1
Entry from the Alexandria database: ZnGaGeOs2 after structural relaxation (GGA-PBE).

Properties
Space group ... P4/mmm
Formation energy ... 1288 meV/atom

Cell lengths 4.599, 4.415, 4.599 Å; angles 90.00, 90.00, 90.00 degrees
Atoms (fractional coordinates):
Zn 0.000 0.500 0.000
Os 0.500 0.000 0.000
Os 0.000 0.000 0.500
Ga 0.500 0.500 0.500
Ge 0.000 0.000 0.000

=====

# 2
Entry from the Alexandria database: CePrLuGa after structural relaxation (GGA-PBE).

Properties
Space group ... F-43m
Formation energy ... -74 meV/atom

Cell lengths 5.370, 5.370, 5.370 Å; angles 60.00, 60.00, 60.00 degrees
Site moments in Bohr magnetons follow the coordinates.
Atoms (fractional coordinates):
Ce 0.000 0.000 0.000  0.68
Lu 0.750 0.750 0.750  0.16
Pr 0.500 0.500 0.500  0.06
Ga 0.250 0.250 0.250  -0.01

=====

# 3
Entry from the Alexandria database: Rb3PaCl6 after structural relaxation (GGA-PBE).

Properties
Space group ... P2_1/c
Formation energy from raw total energies ... -1.862 eV per atom

Cell lengths 7.908, 8.372, 13.925 Å; angles 90.00, 54.72, 90.00 degrees
Site moments in Bohr magnetons follow the coordinates.
Atoms (fractional coordinates):
Pa 0.000 0.500 0.500  1.87
Pa 0.000 0.000 0.000  1.87
Rb 0.500 0.000 0.500  0.00
Rb 0.500 0.500 0.000  0.00
Rb 0.772 0.433 0.255  0.00
Rb 0.228 0.933 0.245  0.00
Rb 0.772 0.067 0.755  0.00
Rb 0.228 0.567 0.745  0.00
Cl 0.777 0.818 0.942  -0.01
Cl 0.223 0.318 0.558  -0.01
Cl 0.353 0.942 0.774  -0.01
Cl 0.095 0.772 0.577  -0.01
Cl 0.223 0.182 0.058  -0.01
Cl 0.905 0.228 0.423  -0.01
Cl 0.905 0.272 0.923  -0.01
Cl 0.647 0.442 0.726  -0.01
Cl 0.777 0.682 0.442  -0.01
Cl 0.095 0.728 0.077  -0.01
Cl 0.647 0.058 0.226  -0.01
Cl 0.353 0.558 0.274  -0.01

=====

# 4
Entry from the Alexandria database: Rb4NdNb3O12 after structural relaxation (GGA-PBE).

Properties
Space group ... Im-3m
Formation energy from raw total energies ... -2.220 eV per atom

Cell lengths 7.372, 7.372, 7.372 Å; angles 109.47, 109.47, 109.47 degrees
Site moments in Bohr magnetons follow the coordinates.
Atoms (fractional coordinates):
Nd 0.000 0.000 0.000  -0.01
Nb 0.000 0.500 0.500  -0.08
Nb 0.500 0.500 0.000  -0.08
Nb 0.500 0.000 0.500  -0.08
O 0.726 0.726 0.000  0.11
O 0.274 0.000 0.274  0.11
O 0.250 0.750 0.500  0.22
O 0.500 0.750 0.250  0.22
O 0.250 0.500 0.750  0.22
O 0.000 0.274 0.274  0.11
O 0.500 0.250 0.750  0.22
O 0.000 0.726 0.726  0.11
O 0.726 0.000 0.726  0.11
O 0.274 0.274 0.000  0.11
O 0.750 0.250 0.500  0.22
O 0.750 0.500 0.250  0.22
Rb 0.000 0.000 0.500  0.00
Rb 0.000 0.500 0.000  0.00
Rb 0.500 0.500 0.500  0.00
Rb 0.500 0.000 0.000  0.00

=====

# 5
Entry from the Alexandria database: La2Ir2Pd after structural relaxation (GGA-PBE).

Properties
Space group ... I4/mmm
E above lowest polymorph ... 154 meV/atom
Formation energy ... -437 meV/atom

Cell lengths 3.845, 3.845, 8.510 Å; angles 76.94, 76.94, 90.00 degrees
Atoms (fractional coordinates):
Pd 0.000 0.000 0.000
Ir 0.750 0.250 0.500
Ir 0.250 0.750 0.500
La 0.387 0.387 0.227
La 0.613 0.613 0.773

=====

# 6
Entry from the Alexandria database: Sr9Al2Ni after structural relaxation (GGA-PBE).

Properties
Space group ... P6/mmm
Formation energy ... 379 meV/atom

Cell lengths 11.484, 11.484, 5.295 Å; angles 90.00, 90.00, 120.00 degrees
Site moments in Bohr magnetons follow the coordinates.
Atoms (fractional coordinates):
Sr 0.000 0.500 0.000  -0.01
Sr 0.215 0.430 0.500  -0.01
Sr 0.215 0.785 0.500  -0.01
Sr 0.500 0.000 0.000  -0.01
Sr 0.785 0.570 0.500  -0.01
Sr 0.430 0.215 0.500  -0.01
Sr 0.570 0.785 0.500  -0.01
Sr 0.785 0.215 0.500  -0.01
Sr 0.500 0.500 0.000  -0.01
Al 0.333 0.667 0.000  0.00
Al 0.667 0.333 0.000  0.00
Ni 0.000 0.000 0.000  0.92